[1]
Below is a relaxed CsHg2TeBr crystal, with properties calculated at the PBE-GGA level.

Structure (CIF):
```
data_CsHg2TeBr
_cell_length_a 5.727
_cell_length_b 5.727
_cell_length_c 7.927
_cell_angle_alpha 90.00
_cell_angle_beta 90.00
_cell_angle_gamma 90.00
_space_group_name_H-M_alt 'P 4/m m m'
_space_group_IT_number 123
_space_group_name_Hall '-P 4 2'
loop_
_atom_site_label
_atom_site_type_symbol
_atom_site_fract_x
_atom_site_fract_y
_atom_site_fract_z
Cs1 Cs 0.000 0.000 0.000
Hg1 Hg 0.000 0.500 0.500
Te1 Te 0.000 0.000 0.500
Br1 Br 0.500 0.500 0.000
```

**Formation energy (no corrections)**: -572 meV/atom
**Calculated total energy**: -1.8267 eV per atom
**DOS(E_F)**: 0.494 states/eV per atom

=====

[2]
Below is a relaxed Sr2PbF crystal, with properties calculated at the PBE-GGA level.

Structure (CIF):
```
data_Sr2PbF
_cell_length_a 7.726
_cell_length_b 7.726
_cell_length_c 8.456
_cell_angle_alpha 90.00
_cell_angle_beta 90.00
_cell_angle_gamma 90.00
_space_group_name_H-M_alt 'I -4 2 d'
_space_group_IT_number 122
_space_group_name_Hall 'I -4 2bw'
loop_
_atom_site_label
_atom_site_type_symbol
_atom_site_fract_x
_atom_site_fract_y
_atom_site_fract_z
Sr1 Sr 0.157 0.750 0.125
Pb1 Pb 0.000 0.000 0.500
F1 F 0.000 0.000 0.000
```

**Formation energy (no corrections)**: -1589 meV/atom
**Calculated total energy**: -3.8251 eV per atom
**Energy above the most stable polymorph in this dataset**: 0.000 eV per atom
**DOS(E_F)**: 0.807 states/eV per atom

=====

[3]
Below is a relaxed SmPaRuPt crystal, with properties calculated at the PBE-GGA level.

Structure (CIF):
```
data_SmPaRuPt
_cell_length_a 6.981
_cell_length_b 6.981
_cell_length_c 6.981
_cell_angle_alpha 90.00
_cell_angle_beta 90.00
_cell_angle_gamma 90.00
_space_group_name_H-M_alt 'F -4 3 m'
_space_group_IT_number 216
_space_group_name_Hall 'F -4 2 3'
loop_
_atom_site_label
_atom_site_type_symbol
_atom_site_fract_x
_atom_site_fract_y
_atom_site_fract_z
Sm1 Sm 0.000 0.000 0.000
Pa1 Pa 0.000 0.000 0.500
Ru1 Ru 0.250 0.250 0.250
Pt1 Pt 0.250 0.250 0.750
```

**Calculated total energy**: -7.9376 eV per atom
**ΔE_f**: -53.5 kJ/mol of atoms
**DOS(E_F)**: 1.346 states/eV per atom

=====

[4]
Below is a relaxed LiMgZn2 crystal, with properties calculated at the PBE-GGA level.

Structure (CIF):
```
data_LiMgZn2
_cell_length_a 9.302
_cell_length_b 2.986
_cell_length_c 5.035
_cell_angle_alpha 90.00
_cell_angle_beta 102.32
_cell_angle_gamma 90.00
_space_group_name_H-M_alt 'C 1 2/m 1'
_space_group_IT_number 12
loop_
_space_group_symop_operation_xyz
'x,y,z'
'-x,-y,-z'
'-x,y,-z'
'x,-y,z'
'x+1/2,y+1/2,z'
'-x+1/2,-y+1/2,-z'
'-x+1/2,y+1/2,-z'
'x+1/2,-y+1/2,z'
loop_
_atom_site_label
_atom_site_type_symbol
_atom_site_fract_x
_atom_site_fract_y
_atom_site_fract_z
Li1 Li 0.000 0.000 0.000
Mg1 Mg 0.000 0.500 0.500
Zn1 Zn 0.246 0.500 0.232
```

**Calculated total energy**: -1.5757 eV per atom
**ΔE_f**: -5.9 kJ/mol of atoms
**DOS(E_F)**: 0.325 states/eV per atom

=====

[5]
Below is a relaxed CdSi crystal, with properties calculated at the PBE-GGA level.

Structure (CIF):
```
data_CdSi
_cell_length_a 3.930
_cell_length_b 4.124
_cell_length_c 5.296
_cell_angle_alpha 90.00
_cell_angle_beta 109.57
_cell_angle_gamma 90.00
_space_group_name_H-M_alt 'C 1 2 1'
_space_group_IT_number 5
loop_
_space_group_symop_operation_xyz
'x,y,z'
'-x,y,-z'
'x+1/2,y+1/2,z'
'-x+1/2,y+1/2,-z'
loop_
_atom_site_label
_atom_site_type_symbol
_atom_site_fract_x
_atom_site_fract_y
_atom_site_fract_z
Cd1 Cd 0.000 0.000 0.000
Si1 Si 0.000 0.262 0.500
```

**Formation energy (no corrections)**: 449 meV/atom
**Calculated total energy**: -2.7205 eV per atom
**DOS(E_F)**: 0.243 states/eV per atom

=====

[6]
Below is a relaxed Na3Tl12Sn crystal, with properties calculated at the PBE-GGA level.

Structure (CIF):
```
data_Na3Tl12Sn
_cell_length_a 4.961
_cell_length_b 4.961
_cell_length_c 19.085
_cell_angle_alpha 90.00
_cell_angle_beta 90.00
_cell_angle_gamma 90.00
_space_group_name_H-M_alt 'P 4/m m m'
_space_group_IT_number 123
_space_group_name_Hall '-P 4 2'
loop_
_atom_site_label
_atom_site_type_symbol
_atom_site_fract_x
_atom_site_fract_y
_atom_site_fract_z
Na1 Na 0.000 0.000 0.000
Na2 Na 0.000 0.000 0.248
Tl1 Tl 0.000 0.500 0.123
Tl2 Tl 0.000 0.500 0.374
Tl3 Tl 0.500 0.500 0.000
Tl4 Tl 0.500 0.500 0.247
Tl5 Tl 0.500 0.500 0.500
Sn1 Sn 0.000 0.000 0.500
```

**Calculated total energy**: -2.3166 eV per atom
**ΔE_f**: -4.3 kJ/mol of atoms
**DOS(E_F)**: 0.552 states/eV per atom

=====

[7]
Below is a relaxed Ca2Y3UN6 crystal, with properties calculated at the PBE-GGA level.

Structure (CIF):
```
data_Ca2Y3UN6
_cell_length_a 6.037
_cell_length_b 10.433
_cell_length_c 6.012
_cell_angle_alpha 90.00
_cell_angle_beta 109.57
_cell_angle_gamma 90.00
_space_group_name_H-M_alt 'C 1 2/m 1'
_space_group_IT_number 12
loop_
_space_group_symop_operation_xyz
'x,y,z'
'-x,-y,-z'
'-x,y,-z'
'x,-y,z'
'x+1/2,y+1/2,z'
'-x+1/2,-y+1/2,-z'
'-x+1/2,y+1/2,-z'
'x+1/2,-y+1/2,z'
loop_
_atom_site_label
_atom_site_type_symbol
_atom_site_fract_x
_atom_site_fract_y
_atom_site_fract_z
Ca1 Ca 0.000 0.166 0.000
Y1 Y 0.000 0.000 0.500
Y2 Y 0.000 0.333 0.500
U1 U 0.000 0.500 0.000
N1 N 0.218 0.500 0.760
N2 N 0.236 0.348 0.252
```

**Formation energy (no corrections)**: -1504 meV/atom
**Calculated total energy**: -8.5570 eV per atom
**DOS(E_F)**: 0.324 states/eV per atom

=====

[8]
Below is a relaxed SrAg2Cl crystal, with properties calculated at the PBE-GGA level.

Structure (CIF):
```
data_SrAg2Cl
_cell_length_a 7.519
_cell_length_b 7.519
_cell_length_c 7.519
_cell_angle_alpha 90.00
_cell_angle_beta 90.00
_cell_angle_gamma 90.00
_space_group_name_H-M_alt 'F m -3 m'
_space_group_IT_number 225
_space_group_name_Hall '-F 4 2 3'
loop_
_atom_site_label
_atom_site_type_symbol
_atom_site_fract_x
_atom_site_fract_y
_atom_site_fract_z
Sr1 Sr 0.000 0.000 0.000
Ag1 Ag 0.250 0.250 0.250
Cl1 Cl 0.000 0.000 0.500
```

**Formation energy (no corrections)**: -158 meV/atom
**Calculated total energy**: -2.4653 eV per atom
**Energy above the most stable polymorph in this dataset**: 0.610 eV per atom
**DOS(E_F)**: 1.775 states/eV per atom